EuErCuSi: optimized geometry, PBE.

```
data_EuErCuSi
_symmetry_space_group_name_H-M 'F -4 3 m'
_symmetry_Int_Tables_number 216
_symmetry_space_group_name_Hall 'F -4 2 3'
_cell_length_a 7.083
_cell_length_b 7.083
_cell_length_c 7.083
_cell_angle_alpha 90.00
_cell_angle_beta 90.00
_cell_angle_gamma 90.00
loop_
_atom_site_label
_atom_site_fract_x
_atom_site_fract_y
_atom_site_fract_z
Eu1 0.000 0.000 0.000
Er1 0.000 0.000 0.500
Cu1 0.250 0.250 0.250
Si1 0.250 0.250 0.750
```

## Properties
Size of the total moment in μB/atom: 1.809
Uncorrected formation energy in eV/atom: -0.3555
Calculated volume in A^3/atom: 22.21